Material: LaTa2Rh
Method: DFT, PBE-GGA
State: optimized geometry

Results
Magnetic moment (Bohr magnetons per cell): 0.000
Formation energy (meV/atom): 377

Cell and atoms, written as extended XYZ:
```
4
Lattice="4.9542 0.0000 0.0000 0.0000 4.9542 0.0000 0.0000 0.0000 3.1149" Properties=species:S:1:pos:R:3 pbc="T T T"
La 0.0000 0.0000 0.0000
Ta 0.0000 2.4771 1.5575
Ta 2.4771 0.0000 1.5575
Rh 2.4771 2.4771 0.0000
```

Material: SrCo2P
Method: DFT, PBE-GGA
State: optimized geometry

Results
Magnetic moment (Bohr magnetons per cell): 0.028
Formation energy (meV/atom): -407

Cell and atoms, written as extended XYZ:
```
12
Lattice="3.9088 0.0000 0.0000 -1.9544 3.3851 0.0000 0.0000 0.0000 15.9813" Properties=species:S:1:pos:R:3 pbc="T T T"
Sr 0.0000 0.0000 0.0000
Sr 0.0000 2.2568 10.6542
Sr 1.9544 1.1284 5.3271
Co 0.0000 0.0000 3.0251
Co 0.0000 0.0000 12.9561
Co 0.0000 2.2568 7.6291
Co 0.0000 2.2568 13.6794
Co 1.9544 1.1284 2.3019
Co 1.9544 1.1284 8.3522
P 0.0000 0.0000 7.9906
P 0.0000 2.2568 2.6636
P 1.9544 1.1284 13.3177
```

Material: Mg2TaFe
Method: DFT, PBE-GGA
State: optimized geometry

Results
Magnetic moment (Bohr magnetons per cell): 1.733
Formation energy (meV/atom): 384

Cell and atoms, written as extended XYZ:
```
8
Lattice="3.7676 0.0000 0.0000 0.0000 3.7676 0.0000 0.0000 0.0000 9.2998" Properties=species:S:1:pos:R:3 pbc="T T T"
Mg 0.0000 1.8838 2.3250
Mg 0.0000 1.8838 6.9749
Mg 1.8838 0.0000 2.3250
Mg 1.8838 0.0000 6.9749
Ta 0.0000 0.0000 0.0000
Ta 1.8838 1.8838 4.6499
Fe 0.0000 0.0000 4.6499
Fe 1.8838 1.8838 0.0000
```

Total energy
In order: -8.619; -5.732; -5.492
Unit: eV/atom
DOS(E_F)
In order: 4.32; 15.50; 6.28
Unit: states/eV per cell
Calculated density
In order: 13.11; 5.57; 7.18
Unit: g cm⁻³